This record from Alexandria describes crystalline BaCd2F8 at its relaxed geometry. The functional is GGA-PBE.

Computed properties:
- V (Å³ per atom) = 17.13
- E_tot (eV per cell) = -42.47
- formation energy without anion corrections (meV per atom) = -2158

The structure in POSCAR format:
```
BaCd2F8
1.0
6.010 -2.191 0.000
6.010 2.191 0.000
-1.619 0.000 7.154
Ba Cd F
1 2 8
Direct
0.000 0.000 0.000
0.370 0.370 0.558
0.630 0.630 0.442
0.185 0.185 0.398
0.188 0.687 0.314
0.313 0.812 0.686
0.384 0.384 0.864
0.616 0.616 0.136
0.687 0.188 0.314
0.812 0.313 0.686
0.815 0.815 0.602
```